[1]
Material: Er5FeBi4
Method: DFT, GGA-PBE
State: optimized geometry

## Properties
electronic total energy	-5.13	eV/atom
total magnetic moment	1.0	μB/f.u.
ΔH_f (0 K)	-43.2	kJ per mole of atoms
symmetry	I4
Fermi-level density of states	5.79	states/eV per cell

Cell and atoms, written as POSCAR:
```
Er5FeBi4
1.0
-4.845 4.845 3.125
4.845 -4.845 3.125
4.845 4.845 -3.125
Er Fe Bi
5 1 4
Direct
0.000 0.000 0.000
0.379 0.760 0.807
0.572 0.379 0.619
0.760 0.953 0.381
0.953 0.572 0.193
0.558 0.558 0.000
0.077 0.877 0.617
0.260 0.460 0.383
0.460 0.077 0.200
0.877 0.260 0.800
```

[2]
Material: LiLa2Tc2
Method: DFT, GGA-PBE
State: optimized geometry

## Properties
electronic total energy	-6.24	eV/atom
total magnetic moment	0.0	μB/f.u.
ΔH_f (0 K)	24.6	kJ per mole of atoms
symmetry	P4/mbm
Fermi-level density of states	13.47	states/eV per cell

Cell and atoms, written as POSCAR:
```
LiLa2Tc2
1.0
7.266 0.000 0.000
0.000 7.266 0.000
0.000 0.000 4.492
Li La Tc
2 4 4
Direct
0.000 0.000 0.000
0.500 0.500 0.000
0.184 0.316 0.500
0.316 0.816 0.500
0.684 0.184 0.500
0.816 0.684 0.500
0.112 0.612 0.000
0.388 0.112 0.000
0.612 0.888 0.000
0.888 0.388 0.000
```

[3]
Material: NaPrBiPd
Method: DFT, GGA-PBE
State: optimized geometry

## Properties
electronic total energy	-4.29	eV/atom
total magnetic moment	0.0	μB/f.u.
ΔH_f (0 K)	-47.5	kJ per mole of atoms
symmetry	F-43m
Fermi-level density of states	5.18	states/eV per cell

Cell and atoms, written as POSCAR:
```
NaPrBiPd
1.0
7.470 0.000 0.000
0.000 7.470 0.000
0.000 0.000 7.470
Na Pr Bi Pd
4 4 4 4
Direct
0.000 0.000 0.000
0.000 0.500 0.500
0.500 0.000 0.500
0.500 0.500 0.000
0.000 0.000 0.500
0.000 0.500 0.000
0.500 0.000 0.000
0.500 0.500 0.500
0.250 0.250 0.750
0.250 0.750 0.250
0.750 0.250 0.250
0.750 0.750 0.750
0.250 0.250 0.250
0.250 0.750 0.750
0.750 0.250 0.750
0.750 0.750 0.250
```

[4]
Material: ZnCdSnPd
Method: DFT, GGA-PBE
State: optimized geometry

## Properties
electronic total energy	-2.92	eV/atom
total magnetic moment	0.0	μB/f.u.
ΔH_f (0 K)	-7.6	kJ per mole of atoms
symmetry	F-43m
Fermi-level density of states	16.53	states/eV per cell

Cell and atoms, written as POSCAR:
```
ZnCdSnPd
1.0
6.760 0.000 0.000
0.000 6.760 0.000
0.000 0.000 6.760
Zn Cd Sn Pd
4 4 4 4
Direct
0.000 0.000 0.000
0.000 0.500 0.500
0.500 0.000 0.500
0.500 0.500 0.000
0.250 0.250 0.250
0.250 0.750 0.750
0.750 0.250 0.750
0.750 0.750 0.250
0.250 0.250 0.750
0.250 0.750 0.250
0.750 0.250 0.250
0.750 0.750 0.750
0.000 0.000 0.500
0.000 0.500 0.000
0.500 0.000 0.000
0.500 0.500 0.500
```